# PBE VGaRe2, relaxed
data_VGaRe2
_cell_length_a 2.7710
_cell_length_b 2.7710
_cell_length_c 27.5166
_cell_angle_alpha 90.00
_cell_angle_beta 90.00
_cell_angle_gamma 120.00
_space_group_name_H-M_alt 'R -3 m'
_space_group_IT_number 166
_space_group_name_Hall '-R 3 2"'
loop_
_atom_site_label
_atom_site_type_symbol
_atom_site_fract_x
_atom_site_fract_y
_atom_site_fract_z
V1 V 0.0000 0.0000 0.0000
Ga1 Ga 0.0000 0.0000 0.5000
Re1 Re 0.0000 0.0000 0.0872
# Spin magnetization, μB per formula unit: 0.0
# ρ, g/cm³: 13.42
# DFT formation energy, kJ per mole of atoms: 46.81